Below is a geometry-optimized FeRu2Br structure, with properties calculated at the GGA-PBE level.

Uncorrected energy, eV per atom: -6.29
SG: C2/m
Uncorrected formation energy, eV per atom: 0.8804

abc: 5.158 5.158 2.941
angles: 105.06 105.06 116.06
Atoms (fractional coordinates):
1 Fe 0.000 0.000 0.000
2 Ru 0.000 0.500 0.500
3 Ru 0.500 0.000 0.500
4 Br 0.500 0.500 0.000